1.
Compound: Sr3Li3Sn8
Source: the Alexandria database
Functional: PBE-GGA
Structure: relaxed

```
data_Sr3Li3Sn8
_symmetry_space_group_name_H-M 'I m m m'
_symmetry_Int_Tables_number 71
_symmetry_space_group_name_Hall '-I 2 2'
_cell_length_a 4.641
_cell_length_b 11.565
_cell_length_c 14.522
_cell_angle_alpha 90.00
_cell_angle_beta 90.00
_cell_angle_gamma 90.00
loop_
_atom_site_label
_atom_site_type_symbol
_atom_site_fract_x
_atom_site_fract_y
_atom_site_fract_z
Sr1 Sr 0.000 0.000 0.000
Sr2 Sr 0.000 0.000 0.293
Li1 Li 0.000 0.195 0.500
Li2 Li 0.000 0.500 0.000
Sn1 Sn 0.000 0.305 0.124
Sn2 Sn 0.000 0.357 0.347
```

Values from the calculation:
M_tot, μB/cell: 0.000
Energy above the lowest structure with this stoichiometry, meV per atom: 42
ΔH_f (0 K), kJ/mol of formula units: -543
Total DFT energy (no corrections), eV/atom: -3.460

---

2.
Compound: Sr2LiSn3
Source: the Alexandria database
Functional: PBE-GGA
Structure: relaxed

```
data_Sr2LiSn3
_symmetry_space_group_name_H-M 'C 1 m 1'
_symmetry_Int_Tables_number 8
_cell_length_a 11.585
_cell_length_b 5.247
_cell_length_c 7.969
_cell_angle_alpha 90.00
_cell_angle_beta 132.18
_cell_angle_gamma 90.00
loop_
_symmetry_equiv_pos_as_xyz
'x,y,z'
'x,-y,z'
'x+1/2,y+1/2,z'
'x+1/2,-y+1/2,z'
loop_
_atom_site_label
_atom_site_type_symbol
_atom_site_fract_x
_atom_site_fract_y
_atom_site_fract_z
Sr1 Sr 0.000 0.000 0.000
Sr2 Sr 0.086 0.000 0.595
Li1 Li 0.376 0.000 0.206
Sn1 Sn 0.198 0.500 0.402
Sn2 Sn 0.214 0.500 0.024
Sn3 Sn 0.381 0.000 0.586
```

Values from the calculation:
M_tot, μB/cell: 0.000
Energy above the lowest structure with this stoichiometry, meV per atom: 26
ΔH_f (0 K), kJ/mol of formula units: -306
Total DFT energy (no corrections), eV/atom: -3.410

---

3.
Compound: Sr2LiSn2
Source: the Alexandria database
Functional: PBE-GGA
Structure: relaxed

```
data_Sr2LiSn2
_symmetry_space_group_name_H-M 'C 1 2/m 1'
_symmetry_Int_Tables_number 12
_cell_length_a 15.836
_cell_length_b 4.990
_cell_length_c 7.831
_cell_angle_alpha 90.00
_cell_angle_beta 97.45
_cell_angle_gamma 90.00
loop_
_symmetry_equiv_pos_as_xyz
'x,y,z'
'-x,-y,-z'
'-x,y,-z'
'x,-y,z'
'x+1/2,y+1/2,z'
'-x+1/2,-y+1/2,-z'
'-x+1/2,y+1/2,-z'
'x+1/2,-y+1/2,z'
loop_
_atom_site_label
_atom_site_type_symbol
_atom_site_fract_x
_atom_site_fract_y
_atom_site_fract_z
Sr1 Sr 0.022 0.000 0.252
Sr2 Sr 0.235 0.000 0.683
Li1 Li 0.197 0.000 0.055
Sn1 Sn 0.098 0.500 0.563
Sn2 Sn 0.117 0.500 0.953
```

Values from the calculation:
M_tot, μB/cell: 0.000
Energy above the lowest structure with this stoichiometry, meV per atom: 79
ΔH_f (0 K), kJ/mol of formula units: -249
Total DFT energy (no corrections), eV/atom: -3.173

---

4.
Compound: Sr2LiSn5
Source: the Alexandria database
Functional: PBE-GGA
Structure: relaxed

```
data_Sr2LiSn5
_symmetry_space_group_name_H-M 'I 4 m m'
_symmetry_Int_Tables_number 107
_symmetry_space_group_name_Hall 'I 4 -2'
_cell_length_a 7.102
_cell_length_b 7.102
_cell_length_c 9.683
_cell_angle_alpha 90.00
_cell_angle_beta 90.00
_cell_angle_gamma 90.00
loop_
_atom_site_label
_atom_site_type_symbol
_atom_site_fract_x
_atom_site_fract_y
_atom_site_fract_z
Sr1 Sr 0.000 0.500 0.000
Li1 Li 0.000 0.000 0.201
Sn1 Sn 0.000 0.000 0.516
Sn2 Sn 0.214 0.214 0.751
```

Values from the calculation:
M_tot, μB/cell: 0.000
ΔH_f (0 K), kJ/mol of formula units: -306
Total DFT energy (no corrections), eV/atom: -3.558

---

5.
Compound: Sr2LiSn3
Source: the Alexandria database
Functional: PBE-GGA
Structure: relaxed

```
data_Sr2LiSn3
_symmetry_space_group_name_H-M 'F m m m'
_symmetry_Int_Tables_number 69
_symmetry_space_group_name_Hall '-F 2 2'
_cell_length_a 9.406
_cell_length_b 9.572
_cell_length_c 16.543
_cell_angle_alpha 90.00
_cell_angle_beta 90.00
_cell_angle_gamma 90.00
loop_
_atom_site_label
_atom_site_type_symbol
_atom_site_fract_x
_atom_site_fract_y
_atom_site_fract_z
Sr1 Sr 0.238 0.000 0.000
Sr2 Sr 0.250 0.250 0.250
Li1 Li 0.000 0.000 0.333
Sn1 Sn 0.000 0.000 0.171
Sn2 Sn 0.000 0.239 0.414
```

Values from the calculation:
M_tot, μB/cell: 0.000
Energy above the lowest structure with this stoichiometry, meV per atom: 0
ΔH_f (0 K), kJ/mol of formula units: -321
Total DFT energy (no corrections), eV/atom: -3.436

---

6.
Compound: SrLi3Sn
Source: the Alexandria database
Functional: PBE-GGA
Structure: relaxed

```
data_SrLi3Sn
_symmetry_space_group_name_H-M 'P m -3 m'
_symmetry_Int_Tables_number 221
_symmetry_space_group_name_Hall '-P 4 2 3'
_cell_length_a 5.188
_cell_length_b 5.188
_cell_length_c 5.188
_cell_angle_alpha 90.00
_cell_angle_beta 90.00
_cell_angle_gamma 90.00
loop_
_atom_site_label
_atom_site_type_symbol
_atom_site_fract_x
_atom_site_fract_y
_atom_site_fract_z
Sr1 Sr 0.000 0.000 0.000
Li1 Li 0.000 0.500 0.500
Sn1 Sn 0.500 0.500 0.500
```

Values from the calculation:
M_tot, μB/cell: 0.000
Energy above the lowest structure with this stoichiometry, meV per atom: 62
ΔH_f (0 K), kJ/mol of formula units: -98
Total DFT energy (no corrections), eV/atom: -2.488

---

7.
Compound: Sr3Li3Sn8
Source: the Alexandria database
Functional: PBE-GGA
Structure: relaxed

```
data_Sr3Li3Sn8
_symmetry_space_group_name_H-M 'C 1 2/m 1'
_symmetry_Int_Tables_number 12
_cell_length_a 17.731
_cell_length_b 5.051
_cell_length_c 10.698
_cell_angle_alpha 90.00
_cell_angle_beta 126.66
_cell_angle_gamma 90.00
loop_
_symmetry_equiv_pos_as_xyz
'x,y,z'
'-x,-y,-z'
'-x,y,-z'
'x,-y,z'
'x+1/2,y+1/2,z'
'-x+1/2,-y+1/2,-z'
'-x+1/2,y+1/2,-z'
'x+1/2,-y+1/2,z'
loop_
_atom_site_label
_atom_site_type_symbol
_atom_site_fract_x
_atom_site_fract_y
_atom_site_fract_z
Sr1 Sr 0.000 0.000 0.000
Sr2 Sr 0.199 0.500 0.694
Li1 Li 0.000 0.000 0.500
Li2 Li 0.167 0.500 0.315
Sn1 Sn 0.003 0.500 0.314
Sn2 Sn 0.137 0.000 0.410
Sn3 Sn 0.147 0.500 0.033
Sn4 Sn 0.151 0.000 0.874
```

Values from the calculation:
M_tot, μB/cell: 0.000
Energy above the lowest structure with this stoichiometry, meV per atom: 0
ΔH_f (0 K), kJ/mol of formula units: -600
Total DFT energy (no corrections), eV/atom: -3.502

---

8.
Compound: Sr2Li15Sn2
Source: the Alexandria database
Functional: PBE-GGA
Structure: relaxed

```
data_Sr2Li15Sn2
_symmetry_space_group_name_H-M 'R -3 m'
_symmetry_Int_Tables_number 166
_symmetry_space_group_name_Hall '-R 3 2"'
_cell_length_a 10.1520
_cell_length_b 10.1520
_cell_length_c 14.5515
_cell_angle_alpha 90.00
_cell_angle_beta 90.00
_cell_angle_gamma 120.00
loop_
_atom_site_label
_atom_site_type_symbol
_atom_site_fract_x
_atom_site_fract_y
_atom_site_fract_z
Sr1 Sr 0.0000 0.0000 0.1500
Li1 Li 0.0000 0.2644 0.5000
Li2 Li 0.0000 0.5000 0.0000
Li3 Li 0.0180 0.5090 0.3560
Sn1 Sn 0.0000 0.0000 0.3921
```

Values from the calculation:
M_tot, μB/cell: 0.000
ΔH_f (0 K), kJ/mol of formula units: -222
Total DFT energy (no corrections), eV/atom: -2.230

---

9.
Compound: Sr2Li2Sn5
Source: the Alexandria database
Functional: PBE-GGA
Structure: relaxed

```
data_Sr2Li2Sn5
_symmetry_space_group_name_H-M 'P 4/m m m'
_symmetry_Int_Tables_number 123
_symmetry_space_group_name_Hall '-P 4 2'
_cell_length_a 4.851
_cell_length_b 4.851
_cell_length_c 10.375
_cell_angle_alpha 90.00
_cell_angle_beta 90.00
_cell_angle_gamma 90.00
loop_
_atom_site_label
_atom_site_type_symbol
_atom_site_fract_x
_atom_site_fract_y
_atom_site_fract_z
Sr1 Sr 0.000 0.000 0.000
Sr2 Sr 0.000 0.000 0.500
Li1 Li 0.500 0.500 0.130
Sn1 Sn 0.000 0.500 0.259
Sn2 Sn 0.500 0.500 0.500
```

Values from the calculation:
M_tot, μB/cell: 0.000
ΔH_f (0 K), kJ/mol of formula units: -311
Total DFT energy (no corrections), eV/atom: -3.381

---

10.
Compound: Sr2Li2Sn
Source: the Alexandria database
Functional: PBE-GGA
Structure: relaxed

```
data_Sr2Li2Sn
_symmetry_space_group_name_H-M 'P -3 m 1'
_symmetry_Int_Tables_number 164
_symmetry_space_group_name_Hall '-P 3 2"'
_cell_length_a 4.7090
_cell_length_b 4.7090
_cell_length_c 8.7851
_cell_angle_alpha 90.00
_cell_angle_beta 90.00
_cell_angle_gamma 120.00
loop_
_atom_site_label
_atom_site_type_symbol
_atom_site_fract_x
_atom_site_fract_y
_atom_site_fract_z
Sr1 Sr 0.3333 0.6667 0.2037
Li1 Li 0.3333 0.6667 0.5636
Sn1 Sn 0.0000 0.0000 0.5000
```

Values from the calculation:
M_tot, μB/cell: 0.000
Energy above the lowest structure with this stoichiometry, meV per atom: 7
ΔH_f (0 K), kJ/mol of formula units: -152
Total DFT energy (no corrections), eV/atom: -2.553

---

11.
Compound: Sr2Li3Sn5
Source: the Alexandria database
Functional: PBE-GGA
Structure: relaxed

```
data_Sr2Li3Sn5
_symmetry_space_group_name_H-M 'I b a m'
_symmetry_Int_Tables_number 72
_symmetry_space_group_name_Hall '-I 2 2c'
_cell_length_a 12.212
_cell_length_b 13.061
_cell_length_c 6.583
_cell_angle_alpha 90.00
_cell_angle_beta 90.00
_cell_angle_gamma 90.00
loop_
_atom_site_label
_atom_site_type_symbol
_atom_site_fract_x
_atom_site_fract_y
_atom_site_fract_z
Sr1 Sr 0.241 0.129 0.000
Li1 Li 0.000 0.500 0.250
Li2 Li 0.128 0.126 0.500
Sn1 Sn 0.000 0.000 0.250
Sn2 Sn 0.000 0.259 0.250
Sn3 Sn 0.151 0.388 0.000
```

Values from the calculation:
M_tot, μB/cell: 0.000
ΔH_f (0 K), kJ/mol of formula units: -450
Total DFT energy (no corrections), eV/atom: -3.378

---

12.
Compound: SrLiTbSn
Source: the Alexandria database
Functional: PBE-GGA
Structure: relaxed

```
data_SrLiTbSn
_symmetry_space_group_name_H-M 'F -4 3 m'
_symmetry_Int_Tables_number 216
_symmetry_space_group_name_Hall 'F -4 2 3'
_cell_length_a 7.721
_cell_length_b 7.721
_cell_length_c 7.721
_cell_angle_alpha 90.00
_cell_angle_beta 90.00
_cell_angle_gamma 90.00
loop_
_atom_site_label
_atom_site_type_symbol
_atom_site_fract_x
_atom_site_fract_y
_atom_site_fract_z
Sr1 Sr 0.000 0.000 0.000
Li1 Li 0.250 0.250 0.250
Tb1 Tb 0.000 0.000 0.500
Sn1 Sn 0.250 0.250 0.750
```

Values from the calculation:
M_tot, μB/cell: 0.001
ΔH_f (0 K), kJ/mol of formula units: -136
Total DFT energy (no corrections), eV/atom: -3.409